# 1
{"formula": "ScNiC2", "functional": "PBE-GGA", "state": "optimized geometry", "sg": "Fm-3m, No. 225", "crystal_system": "cubic", "formation_energy_ev_per_atom": 0.83, "cell": [[0.000, 2.712, 2.712], [2.712, 0.000, 2.712], [2.712, 2.712, 0.000]], "species": ["Sc", "Ni", "C", "C"], "fractional_positions": [[0.000, 0.000, 0.000], [0.500, 0.500, 0.500], [0.250, 0.250, 0.250], [0.750, 0.750, 0.750]]}

# 2
{"formula": "ScNiC2", "functional": "PBE-GGA", "state": "optimized geometry", "sg": "I-42d, No. 122", "crystal_system": "tetragonal", "formation_energy_ev_per_atom": 0.45, "cell": [[-1.889, 1.889, 6.264], [1.889, -1.889, 6.264], [1.889, 1.889, -6.264]], "species": ["Sc", "Sc", "Ni", "Ni", "C", "C", "C", "C"], "fractional_positions": [[0.000, 0.000, 0.000], [0.750, 0.250, 0.500], [0.250, 0.750, 0.500], [0.500, 0.500, 0.000], [0.301, 0.625, 0.176], [0.375, 0.551, 0.676], [0.449, 0.125, 0.824], [0.875, 0.699, 0.324]]}